! Pm2Dy3Y7 PBE-GGA relaxed; values from VASP
! M_tot = 0.000 μB per formula unit
! space-group type = P2/m (10)
! energy of formation = 0.3181 eV/atom
! electronic total energy = -64.74 eV per cell
! D(E_F) = 21.0 states/eV/f.u.
&SYSTEM
  ibrav = 0, nat = 12, ntyp = 3
/
ATOMIC_SPECIES
Pm 145.00 Pm.upf
Dy 162.50 Dy.upf
Y 88.91 Y.upf
CELL_PARAMETERS angstrom
6.1602 0.0000 0.0000
0.0000 5.5356 0.0000
-0.3280 0.0000 12.2172
ATOMIC_POSITIONS crystal
Pm 0.0976 0.0000 0.2797
Pm 0.9024 0.0000 0.7203
Dy 0.0000 0.0000 0.0000
Dy 0.4467 0.5000 0.3410
Dy 0.5533 0.5000 0.6590
Y 0.0577 0.5000 0.8236
Y 0.2656 0.0000 0.5465
Y 0.4203 0.0000 0.8323
Y 0.5000 0.5000 0.0000
Y 0.5797 0.0000 0.1677
Y 0.7344 0.0000 0.4535
Y 0.9423 0.5000 0.1764